Material: MgSnMo2
Method: DFT, PBE
State: relaxed

Results
Crystal system   tetragonal
Energy relative to the elements   0.85 eV per atom
Spin magnetization   0.0 μB/cell
Relative energy among the computed polymorphs   333.6 meV per atom

Cell: 7.4592 7.4592 5.5502 Å, 90.00 90.00 90.00°
Last column: nearest neighbours and their distance in Å.
Space group I-42d (No. 122)
Unique sites:
Mg 0.0000 0.0000 0.0000  4 Mo 2.77, 2 Sn 2.78
Sn 0.0000 0.0000 0.5000  4 Mo 2.68, 2 Mg 2.78
Mo 0.2411 0.2500 0.6250  2 Sn 2.68, 2 Mg 2.77, 2 Mo 2.78

=====

Material: Mg2Sn2Mo
Method: DFT, PBE
State: relaxed

Results
Crystal system   tetragonal
Energy relative to the elements   0.73 eV per atom
Spin magnetization   6.5 μB/cell
Relative energy among the computed polymorphs   497.3 meV per atom

Cell: 4.1655 4.1655 14.2751 Å, 90.00 90.00 90.00°
Last column: nearest neighbours and their distance in Å.
Space group I4/mmm (No. 139)
Unique sites:
Mg 0.0000 0.0000 0.0942  1 Mg 2.69
Sn 0.0000 0.5000 0.2500  4 Sn 2.95, 4 Mg 3.05
Mo 0.0000 0.0000 0.5000  8 Mg 3.24

=====

Material: Mg2Sn2Mo
Method: DFT, PBE
State: relaxed

Results
Crystal system   tetragonal
Energy relative to the elements   0.49 eV per atom
Spin magnetization   0.0 μB/cell
Relative energy among the computed polymorphs   253.5 meV per atom

Cell: 3.7483 3.7483 15.2714 Å, 90.00 90.00 90.00°
Last column: nearest neighbours and their distance in Å.
Space group I4/mmm (No. 139)
Unique sites:
Mg 0.0000 0.5000 0.2500  4 Mg 2.65
Sn 0.0000 0.0000 0.0946  1 Sn 2.89, 4 Mo 3.02, 4 Mg 3.02
Mo 0.0000 0.0000 0.5000  8 Sn 3.02

=====

Material: MgSnMo3
Method: DFT, PBE
State: relaxed

Results
Crystal system   cubic
Energy relative to the elements   1.84 eV per atom
Spin magnetization   2.9 μB/cell
Relative energy among the computed polymorphs   0.0 meV per atom

Cell: 4.6270 4.6270 4.6270 Å, 90.00 90.00 90.00°
Last column: nearest neighbours and their distance in Å.
Space group Pm-3m (No. 221)
Unique sites:
Mg 0.0000 0.0000 0.0000  6 Mo 2.31
Sn 0.5000 0.5000 0.5000  12 Mo 3.27
Mo 0.0000 0.0000 0.5000  2 Mg 2.31

=====

> Which of these has the lowest energy relative to the elements?

number 3

=====

> spin magnetization of number 2 (Mg2Sn2Mo)?

6.5 μB/cell